# ErTcN3 PBE optimized geometry
# V   15.20 A^3/atom
# Total DFT energy (no corrections)   -8.51 eV per atom
# Energy relative to the elements, uncorrected   -534 meV/atom
data_ErTcN3
_chemical_formula_sum 'Er4 Tc4 N12'
_space_group_name_H-M_alt 'P n m a'
_space_group_IT_number 62
_cell_length_a 6.3705
_cell_length_b 9.4418
_cell_length_c 5.0542
_cell_angle_alpha 90.00
_cell_angle_beta 90.00
_cell_angle_gamma 90.00
loop_
_space_group_symop_operation_xyz
'x,y,z'
'-x,-y,-z'
'-x+1/2,-y,z+1/2'
'x+1/2,y,-z+1/2'
'x+1/2,-y+1/2,-z+1/2'
'-x+1/2,y+1/2,z+1/2'
'-x,y+1/2,-z'
'x,-y+1/2,z'
loop_
_atom_site_label
_atom_site_type_symbol
_atom_site_fract_x
_atom_site_fract_y
_atom_site_fract_z
Er1 Er 0.0000 0.0000 0.0000
Tc1 Tc 0.1835 0.2500 0.4463
N1 N 0.0328 0.7500 0.8208
N2 N 0.1698 0.0873 0.6278